A relaxed SmTh2Se5 crystal, computed with GGA-PBE.

Cell and atoms, written as CIF:
```
data_SmTh2Se5
_chemical_formula_sum 'Sm2 Th4 Se10'
_symmetry_space_group_name_H-M 'P 1'
_symmetry_Int_Tables_number 1
_cell_length_a 4.112
_cell_length_b 8.144
_cell_length_c 12.799
_cell_angle_alpha 90.00
_cell_angle_beta 90.00
_cell_angle_gamma 90.00
loop_
_symmetry_equiv_pos_as_xyz
'x,y,z'
loop_
_atom_site_label
_atom_site_fract_x
_atom_site_fract_y
_atom_site_fract_z
Sm1 0.000 0.500 0.500
Sm2 0.000 0.000 0.000
Th1 0.500 0.519 0.178
Th2 0.500 0.481 0.822
Th3 0.500 0.981 0.678
Th4 0.500 0.019 0.322
Se1 0.000 0.000 0.500
Se2 0.000 0.500 0.000
Se3 0.000 0.813 0.196
Se4 0.000 0.187 0.804
Se5 0.000 0.687 0.696
Se6 0.000 0.313 0.304
Se7 0.500 0.669 0.390
Se8 0.500 0.331 0.610
Se9 0.500 0.831 0.890
Se10 0.500 0.169 0.110
```

## Properties
- space group = No. 55
- final energy (eV per atom) = -6.344